Entry 1:
Ca2Hg2Se: optimized geometry, PBE-GGA.

Cell: 8.0566 8.0566 4.2343 Å, 90.00 90.00 90.00°
Fractional positions:
Hg: 0.3720 0.8720 0.0000
Hg: 0.6280 0.1280 0.0000
Hg: 0.1280 0.3720 0.0000
Hg: 0.8720 0.6280 0.0000
Se: 0.5000 0.5000 0.0000
Se: 0.0000 0.0000 0.0000
Ca: 0.8262 0.3262 0.5000
Ca: 0.6738 0.8262 0.5000
Ca: 0.1738 0.6738 0.5000
Ca: 0.3262 0.1738 0.5000

Properties
The excess energy over the best structure of this formula in the dataset is 140 meV per atom.

=====

Entry 2:
CaHg2Se: optimized geometry, PBE-GGA.

Cell: 6.9439 6.9439 6.9439 Å, 145.03 145.03 50.29°
Fractional positions:
Hg: 0.5000 0.5000 0.0000
Hg: 0.0000 0.0000 0.0000
Ca: 0.7500 0.2500 0.5000
Se: 0.2500 0.7500 0.5000

Properties
The total DFT energy (no corrections) is -2.32 eV/atom.

=====

Entry 3:
CaHg2Se: optimized geometry, PBE-GGA.

Cell: 4.0321 4.0321 8.6483 Å, 90.00 90.00 90.00°
Fractional positions:
Ca: 0.5000 0.5000 0.6100
Se: 0.0000 0.0000 0.6338
Hg: 0.0000 0.0000 0.0257
Hg: 0.5000 0.5000 0.2305

Properties
The total DFT energy (no corrections) is -2.33 eV/atom.

=====

Entry 4:
Ca2HgSe: optimized geometry, PBE-GGA.

Cell: 5.5711 5.5711 5.5711 Å, 127.49 127.49 77.45°
Fractional positions:
Hg: 0.2500 0.7500 0.5000
Se: 0.7500 0.2500 0.5000
Ca: 0.0000 0.0000 0.0000
Ca: 0.5000 0.5000 0.0000

Properties
The excess energy over the best structure of this formula in the dataset is 250 meV per atom.

=====

Number 1: volume 137.4 Å³/f.u.. Number 2: volume 109.4 Å³/f.u.. Number 3: volume 140.6 Å³/f.u.. Number 4: volume 105.6 Å³/f.u..